(1)
# CeHoZn2In2 (PBE-GGA, optimized geometry)
data_CeHoZn2In2
_cell_length_a 4.7012
_cell_length_b 4.7012
_cell_length_c 7.3927
_cell_angle_alpha 90.00
_cell_angle_beta 90.00
_cell_angle_gamma 120.00
_space_group_name_H-M_alt 'P -3 m 1'
_space_group_IT_number 164
_space_group_name_Hall '-P 3 2"'
loop_
_atom_site_label
_atom_site_fract_x
_atom_site_fract_y
_atom_site_fract_z
Ce1 0.0000 0.0000 0.0000
Ho1 0.0000 0.0000 0.5000
Zn1 0.3333 0.6667 0.2771
In1 0.3333 0.6667 0.7403
# Crystal system   trigonal
# Magnetization   1.169 μB/cell
# DFT formation energy   -0.37 eV/atom

***

(2)
# Fe2AgBr (PBE-GGA, optimized geometry)
data_Fe2AgBr
_cell_length_a 3.2328
_cell_length_b 4.5659
_cell_length_c 9.0606
_cell_angle_alpha 90.00
_cell_angle_beta 90.00
_cell_angle_gamma 90.00
_space_group_name_H-M_alt 'I m m m'
_space_group_IT_number 71
_space_group_name_Hall '-I 2 2'
loop_
_atom_site_label
_atom_site_fract_x
_atom_site_fract_y
_atom_site_fract_z
Fe1 0.0000 0.0000 0.2394
Ag1 0.0000 0.5000 0.0000
Br1 0.0000 0.5000 0.5000
# Crystal system   orthorhombic
# Polymorph energy (0 for the lowest one)   1.63 eV per formula unit
# E_form (uncorrected)   3.000 eV/f.u.
# Magnetization   11.753 μB/cell

***

(3)
# Ho4SiC (PBE-GGA, optimized geometry)
data_Ho4SiC
_cell_length_a 8.8518
_cell_length_b 8.8518
_cell_length_c 7.9379
_cell_angle_alpha 90.00
_cell_angle_beta 90.00
_cell_angle_gamma 90.00
_space_group_name_H-M_alt 'I 41 m d'
_space_group_IT_number 109
_space_group_name_Hall 'I 4bw -2'
loop_
_atom_site_label
_atom_site_fract_x
_atom_site_fract_y
_atom_site_fract_z
Ho1 0.0000 0.2914 0.0000
Ho2 0.0000 0.3106 0.4494
Si1 0.0000 0.0000 0.4842
C1 0.0000 0.0000 0.9738
# Crystal system   tetragonal
# E_form (uncorrected)   -1.135 eV/f.u.
# Magnetization   8.654 μB/cell

***

(4)
# Sr2Hg2Au (PBE-GGA, optimized geometry)
data_Sr2Hg2Au
_cell_length_a 8.1473
_cell_length_b 8.1473
_cell_length_c 4.5760
_cell_angle_alpha 90.00
_cell_angle_beta 90.00
_cell_angle_gamma 90.00
_space_group_name_H-M_alt 'P 4/m b m'
_space_group_IT_number 127
_space_group_name_Hall '-P 4 2ab'
loop_
_atom_site_label
_atom_site_fract_x
_atom_site_fract_y
_atom_site_fract_z
Sr1 0.1761 0.3239 0.0000
Hg1 0.1296 0.6296 0.5000
Au1 0.0000 0.0000 0.5000
# Crystal system   tetragonal
# Polymorph energy (0 for the lowest one)   0.56 eV per formula unit
# Magnetization   0.000 μB/cell
# DFT formation energy   -0.46 eV/atom

***

(5)
# Ti2Cd2Cl2O5 (PBE-GGA, optimized geometry)
data_Ti2Cd2Cl2O5
_cell_length_a 3.7196
_cell_length_b 3.7196
_cell_length_c 26.5651
_cell_angle_alpha 90.00
_cell_angle_beta 90.00
_cell_angle_gamma 90.00
_space_group_name_H-M_alt 'I 4/m m m'
_space_group_IT_number 139
_space_group_name_Hall '-I 4 2'
loop_
_atom_site_label
_atom_site_fract_x
_atom_site_fract_y
_atom_site_fract_z
Ti1 0.0000 0.0000 0.0682
Cd1 0.0000 0.0000 0.3537
Cl1 0.0000 0.0000 0.1930
O1 0.0000 0.0000 0.0000
O2 0.0000 0.5000 0.0894
# Crystal system   tetragonal
# E_form (uncorrected)   -22.589 eV/f.u.
# Magnetization   0.000 μB/cell

***

(6)
# PRu2W (PBE-GGA, optimized geometry)
data_PRu2W
_cell_length_a 5.5456
_cell_length_b 7.1536
_cell_length_c 2.8479
_cell_angle_alpha 90.00
_cell_angle_beta 90.00
_cell_angle_gamma 90.00
_space_group_name_H-M_alt 'C m m m'
_space_group_IT_number 65
_space_group_name_Hall '-C 2 2'
loop_
_atom_site_label
_atom_site_fract_x
_atom_site_fract_y
_atom_site_fract_z
P1 0.0000 0.0000 0.0000
Ru1 0.2500 0.2500 0.5000
W1 0.0000 0.5000 0.0000
# Crystal system   orthorhombic
# Magnetization   0.000 μB/cell
# DFT formation energy   0.15 eV/atom

***

(7)
# LiAg2As (PBE-GGA, optimized geometry)
data_LiAg2As
_cell_length_a 2.9939
_cell_length_b 4.3453
_cell_length_c 5.6437
_cell_angle_alpha 90.00
_cell_angle_beta 105.32
_cell_angle_gamma 90.00
_space_group_name_H-M_alt 'P 1 m 1'
_space_group_IT_number 6
_space_group_name_Hall 'P -2y'
loop_
_atom_site_label
_atom_site_fract_x
_atom_site_fract_y
_atom_site_fract_z
Li1 0.0000 0.0000 0.0000
Ag1 0.2582 0.0000 0.5291
Ag2 0.6472 0.5000 0.3074
As1 0.4119 0.5000 0.8165
# Crystal system   monoclinic
# Magnetization   0.000 μB/cell
# DFT formation energy   -0.14 eV/atom

***

Q: Which value of magnetization does entry 1 give?
A: 1.169 μB/cell

***

Q: Which value of magnetization does entry 2 give?
A: 11.753 μB/cell